Density functional theory data (PBE-GGA) for a geometry-optimized Y2AgBr structure.

Values from the calculation:
ρ: 4.36 g/cm³
raw formation energy: -159 meV/atom
ΔE to the lowest computed polymorph: 1.77 eV/f.u.
VASP energy: -4.5218 eV/atom
size of the total moment: 0.00 μB/atom
density of states at the Fermi level: 9.61 states/eV/cell

Lattice parameters (Å, degrees): 8.271 8.271 8.271 135.05 135.05 65.45
Element x y z (fractional)
Y1 0.116 0.625 0.991
Y2 0.375 0.366 0.491
Y3 0.634 0.125 0.009
Y4 0.875 0.884 0.509
Ag1 0.000 0.000 0.000
Ag2 0.750 0.250 0.500
Br1 0.250 0.750 0.500
Br2 0.500 0.500 0.000